[1]
Compound: CsGa2SnBr8
Source: the Alexandria database
Functional: PBE
Structure: relaxed

Structure (POSCAR):
```
CsGa2SnBr8
1.0
3.5795 2.0666 10.4211
-3.5795 2.0666 10.4211
0.0000 -4.1332 10.4211
Cs Ga Sn Br
1 2 1 8
direct
0.0000 0.0000 0.0000
0.2508 0.2508 0.2508
0.7492 0.7492 0.7492
0.5000 0.5000 0.5000
0.0975 0.7810 0.4466
0.2190 0.5534 0.9025
0.3278 0.3278 0.3278
0.4466 0.0975 0.7810
0.5534 0.9025 0.2190
0.6722 0.6722 0.6722
0.7810 0.4466 0.0975
0.9025 0.2190 0.5534
```

## Properties
* uncorrected formation energy: -892.9 meV/atom
* spin magnetization: 0.0 μB per cell

***

[2]
Compound: Cs2Ga2SnBr6
Source: the Alexandria database
Functional: PBE
Structure: relaxed

Structure (POSCAR):
```
Cs2Ga2SnBr6
1.0
7.2686 -4.1035 0.0000
7.2686 4.1035 0.0000
-4.3430 0.0000 7.9176
Cs Ga Sn Br
2 2 1 6
direct
0.2201 0.2201 0.1848
0.7799 0.7799 0.8152
0.4426 0.4426 0.8221
0.5574 0.5574 0.1779
0.0000 0.0000 0.5000
0.1903 0.6992 0.2189
0.2241 0.2241 0.5870
0.3008 0.8097 0.7811
0.6992 0.1903 0.2189
0.7759 0.7759 0.4130
0.8097 0.3008 0.7811
```

## Properties
* uncorrected formation energy: -1042.0 meV/atom
* spin magnetization: 0.0 μB per cell

***

[3]
Compound: Cs2GaSnBr5
Source: the Alexandria database
Functional: PBE
Structure: relaxed

Structure (POSCAR):
```
Cs2GaSnBr5
1.0
2.3635 -10.0949 0.0000
2.3635 10.0949 0.0000
0.0000 0.0000 15.8294
Cs Ga Sn Br
4 2 2 10
direct
0.0932 0.9068 0.5000
0.1376 0.8624 0.1393
0.8624 0.1376 0.6393
0.9068 0.0932 0.0000
0.4634 0.5366 0.2936
0.5366 0.4634 0.7936
0.2168 0.7832 0.8614
0.7832 0.2168 0.3614
0.0755 0.9245 0.9060
0.2706 0.7294 0.4879
0.3115 0.6885 0.2407
0.3634 0.6366 0.8269
0.4993 0.5007 0.6180
0.5007 0.4993 0.1180
0.6366 0.3634 0.3269
0.6885 0.3115 0.7407
0.7294 0.2706 0.9879
0.9245 0.0755 0.4060
```

## Properties
* uncorrected formation energy: -1165.8 meV/atom
* spin magnetization: 0.0 μB per cell

***

[4]
Compound: CsSrGa2Br8
Source: the Alexandria database
Functional: PBE
Structure: relaxed

Structure (POSCAR):
```
CsSrGa2Br8
1.0
3.5910 2.0733 10.3814
-3.5910 2.0733 10.3814
0.0000 -4.1466 10.3814
Cs Sr Ga Br
1 1 2 8
direct
0.0000 0.0000 0.0000
0.5000 0.5000 0.5000
0.2499 0.2499 0.2499
0.7501 0.7501 0.7501
0.0959 0.4337 0.7945
0.2055 0.9041 0.5663
0.3273 0.3273 0.3273
0.4337 0.7945 0.0959
0.5663 0.2055 0.9041
0.6727 0.6727 0.6727
0.7945 0.0959 0.4337
0.9041 0.5663 0.2055
```

## Properties
* uncorrected formation energy: -1217.7 meV/atom
* spin magnetization: 0.9 μB per cell

***

[5]
Compound: Cs2SrGa2Br6
Source: the Alexandria database
Functional: PBE
Structure: relaxed

Structure (POSCAR):
```
Cs2SrGa2Br6
1.0
6.3448 -4.1335 0.0000
6.3448 4.1335 0.0000
-3.3899 0.0000 8.6144
Cs Sr Ga Br
2 1 2 6
direct
0.2018 0.2018 0.1455
0.7982 0.7982 0.8545
0.0000 0.0000 0.5000
0.4162 0.4162 0.8328
0.5838 0.5838 0.1672
0.1968 0.7131 0.2209
0.2484 0.2484 0.5466
0.2869 0.8032 0.7791
0.7131 0.1968 0.2209
0.7516 0.7516 0.4534
0.8032 0.2869 0.7791
```

## Properties
* uncorrected formation energy: -1404.0 meV/atom
* spin magnetization: 0.0 μB per cell

***

[6]
Compound: Cs2GaTeBr6
Source: the Alexandria database
Functional: PBE
Structure: relaxed

Structure (POSCAR):
```
Cs2GaTeBr6
1.0
-3.9723 3.9723 6.0247
3.9723 -3.9723 6.0247
3.9723 3.9723 -6.0247
Cs Ga Te Br
2 1 1 6
direct
0.2500 0.7500 0.5000
0.7500 0.2500 0.5000
0.0000 0.0000 0.0000
0.5000 0.5000 0.0000
0.2214 0.2214 0.0000
0.2513 0.2513 0.5026
0.2513 0.7487 0.0000
0.7487 0.2513 0.0000
0.7487 0.7487 0.4974
0.7786 0.7786 0.0000
```

## Properties
* uncorrected formation energy: -986.1 meV/atom
* spin magnetization: 0.0 μB per cell